Record 1
Ir3Cl4: relaxed, PBE-GGA.

Structure (POSCAR):
```
Ir3Cl4
1.0
-1.535 1.535 15.685
1.535 -1.535 15.685
1.535 1.535 -15.685
Ir Cl
3 4
direct
0.000 0.000 0.000 Ir
0.273 0.273 0.000 Ir
0.727 0.727 0.000 Ir
0.172 0.172 0.000 Cl
0.448 0.448 0.000 Cl
0.552 0.552 0.000 Cl
0.828 0.828 0.000 Cl
```

Properties
The space group is I4/mmm (139). As for the density of states at the Fermi level: 4.64 states/eV/cell. The value obtained for the volume is 147.89 Å³ per cell. Its uncorrected formation energy is 0.558 eV/atom. For the total energy, the calculation gives -4.295 eV per atom.

***

Record 2
IrCl2: relaxed, PBE-GGA.

Structure (POSCAR):
```
IrCl2
1.0
4.875 0.000 0.000
-2.437 4.222 0.000
0.000 0.000 2.805
Ir Cl
1 2
direct
0.000 0.000 0.000 Ir
0.333 0.667 0.500 Cl
0.667 0.333 0.500 Cl
```

Properties
The space group is P6/mmm (191). As for the density of states at the Fermi level: 4.45 states/eV/cell. The value obtained for the volume is 57.73 Å³ per cell. Its uncorrected formation energy is 1.532 eV/atom. For the total energy, the calculation gives -2.652 eV per atom.

***

Record 3
Ir3Cl4: relaxed, PBE-GGA.

Structure (POSCAR):
```
Ir3Cl4
1.0
5.535 0.000 0.000
-2.768 4.794 0.000
0.000 0.000 4.734
Ir Cl
3 4
direct
0.000 0.500 0.000 Ir
0.500 0.000 0.000 Ir
0.500 0.500 0.000 Ir
0.000 0.000 0.254 Cl
0.000 0.000 0.746 Cl
0.333 0.667 0.500 Cl
0.667 0.333 0.500 Cl
```

Properties
The space group is P6/mmm (191). As for the density of states at the Fermi level: 9.69 states/eV/cell. The value obtained for the volume is 125.59 Å³ per cell. Its uncorrected formation energy is 1.197 eV/atom. For the total energy, the calculation gives -3.656 eV per atom.

***

Record 4
Ir2Cl: relaxed, PBE-GGA.

Structure (POSCAR):
```
Ir2Cl
1.0
4.078 0.000 0.000
-2.039 3.532 0.000
0.000 0.000 6.503
Ir Cl
4 2
direct
0.000 0.000 0.000 Ir
0.000 0.000 0.500 Ir
0.333 0.667 0.250 Ir
0.667 0.333 0.750 Ir
0.333 0.667 0.750 Cl
0.667 0.333 0.250 Cl
```

Properties
The space group is P6_3/mmc (194). As for the density of states at the Fermi level: 8.40 states/eV/cell. The value obtained for the volume is 93.67 Å³ per cell. Its uncorrected formation energy is 1.280 eV/atom. For the total energy, the calculation gives -5.243 eV per atom.

***

Record 5
IrCl5: relaxed, PBE-GGA.

Structure (POSCAR):
```
IrCl5
1.0
7.031 -1.661 0.000
7.031 1.661 0.000
-0.648 0.000 6.904
Ir Cl
1 5
direct
0.000 0.000 0.000 Ir
0.118 0.118 0.251 Cl
0.391 0.391 0.767 Cl
0.426 0.426 0.183 Cl
0.595 0.595 0.861 Cl
0.787 0.787 0.538 Cl
```

Properties
The space group is Cm (8). The value obtained for the volume is 161.29 Å³ per cell. Its uncorrected formation energy is 0.003 eV/atom. For the total energy, the calculation gives -3.013 eV per atom.

***

Record 6
IrCl2: relaxed, PBE-GGA.

Structure (POSCAR):
```
IrCl2
1.0
1.745 -6.891 0.000
1.745 6.891 0.000
0.000 0.000 7.852
Ir Cl
2 4
direct
0.140 0.860 0.750 Ir
0.860 0.140 0.250 Ir
0.251 0.749 0.250 Cl
0.469 0.531 0.250 Cl
0.531 0.469 0.750 Cl
0.749 0.251 0.750 Cl
```

Properties
The space group is Cmcm (63). As for the density of states at the Fermi level: 6.17 states/eV/cell. The value obtained for the volume is 188.79 Å³ per cell. Its uncorrected formation energy is 0.065 eV/atom. For the total energy, the calculation gives -4.120 eV per atom.

***

Record 7
Ir2Cl: relaxed, PBE-GGA.

Structure (POSCAR):
```
Ir2Cl
1.0
4.320 -1.424 0.000
4.320 1.424 0.000
-0.235 0.000 10.514
Ir Cl
4 2
direct
0.000 0.000 0.000 Ir
0.005 0.005 0.240 Ir
0.276 0.276 0.893 Ir
0.727 0.727 0.102 Ir
0.475 0.475 0.414 Cl
0.758 0.758 0.707 Cl
```

Properties
The space group is Cm (8). As for the density of states at the Fermi level: 5.43 states/eV/cell. The value obtained for the volume is 129.34 Å³ per cell. Its uncorrected formation energy is 0.328 eV/atom. For the total energy, the calculation gives -6.195 eV per atom.

***

Record 8
Ir2Cl: relaxed, PBE-GGA.

Structure (POSCAR):
```
Ir2Cl
1.0
9.058 -1.380 0.000
9.058 1.380 0.000
-2.126 0.000 6.096
Ir Cl
4 2
direct
0.185 0.185 0.421 Ir
0.254 0.254 0.842 Ir
0.746 0.746 0.158 Ir
0.815 0.815 0.579 Ir
0.433 0.433 0.690 Cl
0.567 0.567 0.310 Cl
```

Properties
The space group is C2/m (12). As for the density of states at the Fermi level: 8.48 states/eV/cell. The value obtained for the volume is 152.41 Å³ per cell. Its uncorrected formation energy is 0.469 eV/atom. For the total energy, the calculation gives -6.054 eV per atom.

***

Record 9
KIrCl2: relaxed, PBE-GGA.

Structure (POSCAR):
```
KIrCl2
1.0
1.758 1.015 8.885
-1.758 1.015 8.885
0.000 -2.030 8.885
K Ir Cl
1 1 2
direct
0.000 0.000 0.000 K
0.500 0.500 0.500 Ir
0.414 0.414 0.414 Cl
0.586 0.586 0.586 Cl
```

Properties
The space group is R-3m (166). As for the density of states at the Fermi level: 5.10 states/eV/cell. The value obtained for the volume is 95.17 Å³ per cell. Its uncorrected formation energy is -0.195 eV/atom. For the total energy, the calculation gives -3.608 eV per atom.

***

Record 10
KIrCl3: relaxed, PBE-GGA.

Structure (POSCAR):
```
KIrCl3
1.0
5.579 0.000 0.000
0.000 5.579 0.000
0.000 0.000 5.579
K Ir Cl
1 1 3
direct
0.000 0.000 0.000 K
0.500 0.500 0.500 Ir
0.000 0.000 0.500 Cl
0.000 0.500 0.000 Cl
0.500 0.000 0.000 Cl
```

Properties
The space group is Pm-3m (221). As for the density of states at the Fermi level: 18.19 states/eV/cell. The value obtained for the volume is 173.69 Å³ per cell. Its uncorrected formation energy is 0.860 eV/atom. For the total energy, the calculation gives -2.239 eV per atom.

***

Record 11
KIrCl: relaxed, PBE-GGA.

Structure (POSCAR):
```
KIrCl
1.0
5.812 -2.073 0.000
5.812 2.073 0.000
-4.624 0.000 7.778
K Ir Cl
2 2 2
direct
0.000 0.000 0.000 K
0.580 0.580 0.529 K
0.307 0.307 0.104 Ir
0.803 0.803 0.223 Ir
0.272 0.272 0.811 Cl
0.864 0.864 0.518 Cl
```

Properties
The space group is Cm (8). As for the density of states at the Fermi level: 1.61 states/eV/cell. The value obtained for the volume is 187.40 Å³ per cell. Its uncorrected formation energy is -0.393 eV/atom. For the total energy, the calculation gives -4.328 eV per atom.

***

Record 12
K2IrCl: relaxed, PBE-GGA.

Structure (POSCAR):
```
K2IrCl
1.0
3.791 -1.568 0.000
3.791 1.568 0.000
-1.096 0.000 9.229
K Ir Cl
2 1 1
direct
0.241 0.241 0.225 K
0.759 0.759 0.775 K
0.000 0.000 0.500 Ir
0.500 0.500 0.000 Cl
```

Properties
The space group is C2/m (12). As for the density of states at the Fermi level: 3.69 states/eV/cell. The value obtained for the volume is 109.71 Å³ per cell. Its uncorrected formation energy is -0.026 eV/atom. For the total energy, the calculation gives -3.251 eV per atom.

***

Record 13
KIrCl2: relaxed, PBE-GGA.

Structure (POSCAR):
```
KIrCl2
1.0
-2.838 2.838 7.100
2.838 -2.838 7.100
2.838 2.838 -7.100
K Ir Cl
2 2 4
direct
0.000 0.000 0.000 K
0.750 0.250 0.500 K
0.250 0.750 0.500 Ir
0.500 0.500 0.000 Ir
0.243 0.625 0.118 Cl
0.375 0.493 0.618 Cl
0.507 0.125 0.882 Cl
0.875 0.757 0.382 Cl
```

Properties
The space group is I-42d (122). As for the density of states at the Fermi level: 2.17 states/eV/cell. The value obtained for the volume is 228.68 Å³ per cell. Its uncorrected formation energy is -0.254 eV/atom. For the total energy, the calculation gives -3.667 eV per atom.

***

Record 14
KIrCl4: relaxed, PBE-GGA.

Structure (POSCAR):
```
KIrCl4
1.0
0.000 4.268 4.268
4.268 0.000 4.268
4.268 4.268 0.000
K Ir Cl
1 1 4
direct
0.000 0.000 0.000 K
0.250 0.250 0.250 Ir
0.129 0.624 0.624 Cl
0.624 0.129 0.624 Cl
0.624 0.624 0.129 Cl
0.624 0.624 0.624 Cl
```

Properties
The space group is F-43m (216). As for the density of states at the Fermi level: 8.37 states/eV/cell. The value obtained for the volume is 155.45 Å³ per cell. Its uncorrected formation energy is 0.712 eV/atom. For the total energy, the calculation gives -2.179 eV per atom.

***

Record 15
KIrCl: relaxed, PBE-GGA.

Structure (POSCAR):
```
KIrCl
1.0
6.167 -2.282 0.000
6.167 2.282 0.000
-1.294 0.000 6.507
K Ir Cl
2 2 2
direct
0.000 0.000 0.000 K
0.243 0.243 0.594 K
0.279 0.279 0.110 Ir
0.726 0.726 0.022 Ir
0.590 0.590 0.727 Cl
0.862 0.862 0.349 Cl
```

Properties
The space group is Cm (8). As for the density of states at the Fermi level: 3.55 states/eV/cell. The value obtained for the volume is 183.15 Å³ per cell. Its uncorrected formation energy is -0.308 eV/atom. For the total energy, the calculation gives -4.243 eV per atom.

***

Record 16
K3IrCl6: relaxed, PBE-GGA.

Structure (POSCAR):
```
K3IrCl6
1.0
12.724 0.000 0.000
0.000 7.615 0.000
-3.756 0.000 11.518
K Ir Cl
12 4 24
direct
0.094 0.055 0.354 K
0.094 0.445 0.854 K
0.318 0.069 0.115 K
0.318 0.431 0.615 K
0.319 0.576 0.267 K
0.319 0.924 0.767 K
0.681 0.076 0.233 K
0.681 0.424 0.733 K
0.682 0.569 0.385 K
0.682 0.931 0.885 K
0.906 0.555 0.146 K
0.906 0.945 0.646 K
0.000 0.000 0.000 Ir
0.000 0.500 0.500 Ir
0.500 0.000 0.500 Ir
0.500 0.500 0.000 Ir
0.088 0.241 0.597 Cl
0.088 0.259 0.097 Cl
0.118 0.004 0.882 Cl
0.118 0.496 0.382 Cl
0.124 0.679 0.643 Cl
0.124 0.821 0.143 Cl
0.354 0.692 0.005 Cl
0.354 0.808 0.505 Cl
0.362 0.205 0.399 Cl
0.362 0.295 0.899 Cl
0.499 0.126 0.679 Cl
0.499 0.374 0.179 Cl
0.501 0.626 0.821 Cl
0.501 0.874 0.321 Cl
0.638 0.705 0.101 Cl
0.638 0.795 0.601 Cl
0.646 0.192 0.495 Cl
0.646 0.308 0.995 Cl
0.876 0.179 0.857 Cl
0.876 0.321 0.357 Cl
0.882 0.504 0.618 Cl
0.882 0.996 0.118 Cl
0.912 0.741 0.903 Cl
0.912 0.759 0.403 Cl
```

Properties
The space group is P2_1/c (14). As for the density of states at the Fermi level: 0.00 states/eV/cell. The value obtained for the volume is 1115.96 Å³ per cell. Its uncorrected formation energy is -1.387 eV/atom. For the total energy, the calculation gives -3.710 eV per atom.

***

Record 17
K2IrCl5: relaxed, PBE-GGA.

Structure (POSCAR):
```
K2IrCl5
1.0
-3.657 3.657 4.464
3.657 -3.657 4.464
3.657 3.657 -4.464
K Ir Cl
2 1 5
direct
0.000 0.500 0.500 K
0.500 0.000 0.500 K
0.261 0.261 0.000 Ir
0.021 0.021 0.546 Cl
0.021 0.475 0.000 Cl
0.475 0.021 0.000 Cl
0.475 0.475 0.454 Cl
0.514 0.514 0.000 Cl
```

Properties
The space group is I4mm (107). The value obtained for the volume is 238.86 Å³ per cell. Its uncorrected formation energy is -1.129 eV/atom. For the total energy, the calculation gives -3.665 eV per atom.

***

Record 18
K2IrCl: relaxed, PBE-GGA.

Structure (POSCAR):
```
K2IrCl
1.0
1.704 0.984 9.792
-1.704 0.984 9.792
0.000 -1.967 9.792
K Ir Cl
2 1 1
direct
0.242 0.242 0.242 K
0.758 0.758 0.758 K
0.000 0.000 0.000 Ir
0.500 0.500 0.500 Cl
```

Properties
The space group is R-3m (166). As for the density of states at the Fermi level: 2.38 states/eV/cell. The value obtained for the volume is 98.44 Å³ per cell. Its uncorrected formation energy is -0.030 eV/atom. For the total energy, the calculation gives -3.256 eV per atom.

***

Record 19
KIrCl2: relaxed, PBE-GGA.

Structure (POSCAR):
```
KIrCl2
1.0
7.374 -1.623 0.000
7.374 1.623 0.000
-1.846 0.000 4.963
K Ir Cl
1 1 2
direct
0.000 0.000 0.000 K
0.605 0.605 0.601 Ir
0.221 0.221 0.713 Cl
0.439 0.439 0.441 Cl
```

Properties
The space group is Cm (8). The value obtained for the volume is 118.80 Å³ per cell. Its uncorrected formation energy is -0.370 eV/atom. For the total energy, the calculation gives -3.783 eV per atom.

***

Record 20
KIrCl: relaxed, PBE-GGA.

Structure (POSCAR):
```
KIrCl
1.0
-1.494 2.049 5.670
1.494 -2.049 5.670
1.494 2.049 -5.670
K Ir Cl
1 1 1
direct
0.000 0.000 0.000 K
0.275 0.275 0.000 Ir
0.744 0.744 0.000 Cl
```

Properties
The space group is Imm2 (44). As for the density of states at the Fermi level: 1.66 states/eV/cell. The value obtained for the volume is 69.45 Å³ per cell. Its uncorrected formation energy is 0.377 eV/atom. For the total energy, the calculation gives -3.558 eV per atom.